Here is an optimized crystal structure of Sc2TiCd from the Alexandria database. Energies are from GGA-PBE.

The structure in POSCAR format:
```
Sc2TiCd
1.0
4.4837 0.0000 0.0000
0.0000 4.4837 0.0000
0.0000 0.0000 4.2508
Sc Ti Cd
2 1 1
Direct
0.0000 0.5000 0.0000 Sc
0.5000 0.0000 0.0000 Sc
0.0000 0.0000 0.5000 Ti
0.5000 0.5000 0.5000 Cd
```

Magnetization ... 2.1 μB/cell
Total energy ... -21.60 eV per cell

Here is an optimized crystal structure of Sc2Zn5Ru2Au from the Alexandria database. Energies are from GGA-PBE.

The structure in POSCAR format:
```
Sc2Zn5Ru2Au
1.0
8.9509 0.0000 0.0000
0.0000 8.9509 0.0000
0.0000 0.0000 4.1509
Sc Zn Ru Au
4 10 4 2
Direct
0.1706 0.3294 0.0000 Sc
0.3294 0.8294 0.0000 Sc
0.6706 0.1706 0.0000 Sc
0.8294 0.6706 0.0000 Sc
0.0000 0.5000 0.5000 Zn
0.0659 0.7956 0.5000 Zn
0.2044 0.0659 0.5000 Zn
0.2956 0.5659 0.5000 Zn
0.4341 0.2956 0.5000 Zn
0.5000 0.0000 0.5000 Zn
0.5659 0.7044 0.5000 Zn
0.7044 0.4341 0.5000 Zn
0.7956 0.9341 0.5000 Zn
0.9341 0.2044 0.5000 Zn
0.1258 0.6258 0.0000 Ru
0.3742 0.1258 0.0000 Ru
0.6258 0.8742 0.0000 Ru
0.8742 0.3742 0.0000 Ru
0.0000 0.0000 0.0000 Au
0.5000 0.5000 0.0000 Au
```

Magnetization ... 0.0 μB/cell
Total energy ... -86.93 eV per cell

Here is an optimized crystal structure of Hf2ZnGe4 from the Alexandria database. Energies are from GGA-PBE.

The structure in POSCAR format:
```
Hf2ZnGe4
1.0
3.7869 0.0000 0.0000
0.0000 3.7869 0.0000
0.0000 0.0000 9.1100
Hf Zn Ge
2 1 4
Direct
0.0000 0.5000 0.2387 Hf
0.5000 0.0000 0.7613 Hf
0.0000 0.0000 0.5000 Zn
0.0000 0.0000 0.0000 Ge
0.0000 0.5000 0.6767 Ge
0.5000 0.0000 0.3233 Ge
0.5000 0.5000 0.0000 Ge
```

Magnetization ... 0.0 μB/cell
Total energy ... -41.83 eV per cell

Here is an optimized crystal structure of MnAgHg from the Alexandria database. Energies are from GGA-PBE.

The structure in POSCAR format:
```
MnAgHg
1.0
6.3560 0.0000 0.0000
0.0000 6.3560 0.0000
0.0000 0.0000 6.3560
Mn Ag Hg
4 4 4
Direct
0.0000 0.0000 0.0000 Mn
0.0000 0.5000 0.5000 Mn
0.5000 0.0000 0.5000 Mn
0.5000 0.5000 0.0000 Mn
0.2500 0.2500 0.7500 Ag
0.2500 0.7500 0.2500 Ag
0.7500 0.2500 0.2500 Ag
0.7500 0.7500 0.7500 Ag
0.2500 0.2500 0.2500 Hg
0.2500 0.7500 0.7500 Hg
0.7500 0.2500 0.7500 Hg
0.7500 0.7500 0.2500 Hg
```

Magnetization ... 16.3 μB/cell
Energy above the lowest structure with this stoichiometry ... 207 meV/atom
Total energy ... -43.99 eV per cell

Here is an optimized crystal structure of GaReH from the Alexandria database. Energies are from GGA-PBE.

The structure in POSCAR format:
```
GaReH
1.0
3.2312 0.0000 0.0000
-1.6156 2.7983 0.0000
0.0000 0.0000 3.7570
Ga Re H
1 1 1
Direct
0.0000 0.0000 0.0000 Ga
0.3333 0.6667 0.5000 Re
0.3333 0.6667 0.0000 H
```

Magnetization ... 0.0 μB/cell
Energy above the lowest structure with this stoichiometry ... 258 meV/atom
Total energy ... -17.44 eV per cell

Here is an optimized crystal structure of Ac3Pd2Au7 from the Alexandria database. Energies are from GGA-PBE.

The structure in POSCAR format:
```
Ac3Pd2Au7
1.0
5.1792 0.0000 0.0000
0.0000 4.5718 0.0000
-0.3427 0.0000 12.5948
Ac Pd Au
3 2 7
Direct
0.0000 0.0000 0.0000 Ac
0.3390 0.5000 0.6561 Ac
0.6610 0.5000 0.3439 Ac
0.0068 0.0000 0.2687 Pd
0.9932 0.0000 0.7313 Pd
0.1690 0.5000 0.1729 Au
0.2493 0.0000 0.4624 Au
0.4817 0.0000 0.8344 Au
0.5000 0.5000 0.0000 Au
0.5183 0.0000 0.1656 Au
0.7507 0.0000 0.5376 Au
0.8310 0.5000 0.8271 Au
```

Magnetization ... 0.0 μB/cell
Total energy ... -53.35 eV per cell

Here is an optimized crystal structure of LaW from the Alexandria database. Energies are from GGA-PBE.

The structure in POSCAR format:
```
LaW
1.0
6.2046 0.0000 0.0000
0.0000 6.2046 0.0000
0.0000 0.0000 5.9962
La W
4 4
Direct
0.1873 0.1873 0.0000 La
0.3127 0.6873 0.5000 La
0.6873 0.3127 0.5000 La
0.8127 0.8127 0.0000 La
0.1343 0.1343 0.5000 W
0.3657 0.6343 0.0000 W
0.6343 0.3657 0.0000 W
0.8657 0.8657 0.5000 W
```

Magnetization ... 0.0 μB/cell
Energy above the lowest structure with this stoichiometry ... 883 meV/atom
Total energy ... -61.70 eV per cell

Here is an optimized crystal structure of CdP2CS from the Alexandria database. Energies are from GGA-PBE.

The structure in POSCAR format:
```
CdP2CS
1.0
4.1524 0.0000 0.0000
0.0000 4.1524 0.0000
0.0000 0.0000 4.3767
Cd P C S
1 2 1 1
Direct
0.0000 0.0000 0.0000 Cd
0.0000 0.5000 0.5000 P
0.5000 0.0000 0.5000 P
0.5000 0.5000 0.5000 C
0.5000 0.5000 0.0000 S
```

Magnetization ... 0.0 μB/cell
Energy above the lowest structure with this stoichiometry ... 0 meV/atom
Total energy ... -19.57 eV per cell
Uncorrected formation energy ... 5.5 eV per formula unit

Here is an optimized crystal structure of Sr2NbBN from the Alexandria database. Energies are from GGA-PBE.

The structure in POSCAR format:
```
Sr2NbBN
1.0
5.7836 0.0000 0.0000
0.0000 5.7836 0.0000
0.0000 0.0000 4.1299
Sr Nb B N
2 1 1 1
Direct
0.0000 0.5000 0.0000 Sr
0.5000 0.0000 0.0000 Sr
0.0000 0.0000 0.0000 Nb
0.0000 0.0000 0.5000 B
0.5000 0.5000 0.5000 N
```

Magnetization ... 2.1 μB/cell
Total energy ... -20.68 eV per cell
Uncorrected formation energy ... 7.8 eV per formula unit

Here is an optimized crystal structure of Ac2HoErTe6 from the Alexandria database. Energies are from GGA-PBE.

The structure in POSCAR format:
```
Ac2HoErTe6
1.0
4.0376 2.3311 6.9916
-4.0376 2.3311 6.9916
0.0000 -4.6622 6.9916
Ac Ho Er Te
2 1 1 6
Direct
0.0000 0.0000 0.0000 Ac
0.4998 0.4998 0.4998 Ac
0.2981 0.2981 0.2981 Ho
0.7983 0.7983 0.7983 Er
0.0658 0.4341 0.6647 Te
0.1641 0.9331 0.5669 Te
0.4341 0.6647 0.0658 Te
0.5669 0.1641 0.9331 Te
0.6647 0.0658 0.4341 Te
0.9331 0.5669 0.1641 Te
```

Magnetization ... 0.0 μB/cell
Total energy ... -50.56 eV per cell
Uncorrected formation energy ... -14.4 eV per formula unit

Here is an optimized crystal structure of KSrZr2 from the Alexandria database. Energies are from GGA-PBE.

The structure in POSCAR format:
```
KSrZr2
1.0
9.3925 0.0000 0.0000
0.0000 9.3925 0.0000
0.0000 0.0000 6.0156
K Sr Zr
4 4 8
Direct
0.0000 0.0000 0.0000 K
0.0000 0.5000 0.2500 K
0.5000 0.0000 0.7500 K
0.5000 0.5000 0.5000 K
0.0000 0.0000 0.5000 Sr
0.0000 0.5000 0.7500 Sr
0.5000 0.0000 0.2500 Sr
0.5000 0.5000 0.0000 Sr
0.2427 0.2500 0.1250 Zr
0.2500 0.7427 0.3750 Zr
0.2500 0.7573 0.8750 Zr
0.2573 0.2500 0.6250 Zr
0.7427 0.7500 0.6250 Zr
0.7500 0.2427 0.8750 Zr
0.7500 0.2573 0.3750 Zr
0.7573 0.7500 0.1250 Zr
```

Magnetization ... 4.1 μB/cell
Energy above the lowest structure with this stoichiometry ... 846 meV/atom
Total energy ... -59.47 eV per cell

Here is an optimized crystal structure of TaInAgRu2 from the Alexandria database. Energies are from GGA-PBE.

The structure in POSCAR format:
```
TaInAgRu2
1.0
4.6870 0.0000 0.0000
0.0000 4.6870 0.0000
0.0000 0.0000 5.3730
Ta In Ag Ru
1 1 1 2
Direct
0.0000 0.0000 0.0000 Ta
0.0000 0.0000 0.5000 In
0.5000 0.5000 0.5000 Ag
0.0000 0.5000 0.0000 Ru
0.5000 0.0000 0.0000 Ru
```

Magnetization ... 0.0 μB/cell
Total energy ... -29.58 eV per cell

Here is an optimized crystal structure of TlC from the Alexandria database. Energies are from GGA-PBE.

The structure in POSCAR format:
```
TlC
1.0
3.4398 0.0000 0.0000
0.0000 6.8604 0.0000
0.0000 0.0000 3.3582
Tl C
2 2
Direct
0.0000 0.0000 0.0000 Tl
0.5000 0.5000 0.0000 Tl
0.0000 0.5000 0.5000 C
0.5000 0.0000 0.5000 C
```

Magnetization ... 1.3 μB/cell
Energy above the lowest structure with this stoichiometry ... 1569 meV/atom
Total energy ... -13.77 eV per cell

Here is an optimized crystal structure of Ac8Si3PBr4 from the Alexandria database. Energies are from GGA-PBE.

The structure in POSCAR format:
```
Ac8Si3PBr4
1.0
4.5211 2.6103 7.7032
-4.5211 2.6103 7.7032
0.0000 -5.2206 7.7032
Ac Si P Br
8 3 1 4
Direct
0.2377 0.2377 0.2377 Ac
0.2385 0.7360 0.7360 Ac
0.2640 0.2640 0.7615 Ac
0.2640 0.7615 0.2640 Ac
0.7360 0.2385 0.7360 Ac
0.7360 0.7360 0.2385 Ac
0.7615 0.2640 0.2640 Ac
0.7623 0.7623 0.7623 Ac
0.0000 0.0000 0.5000 Si
0.0000 0.5000 0.0000 Si
0.5000 0.0000 0.0000 Si
0.5000 0.5000 0.5000 P
0.0000 0.0000 0.0000 Br
0.0000 0.5000 0.5000 Br
0.5000 0.0000 0.5000 Br
0.5000 0.5000 0.0000 Br
```

Magnetization ... 0.0 μB/cell
Total energy ... -79.84 eV per cell
Uncorrected formation energy ... -18.6 eV per formula unit

Here is an optimized crystal structure of AlPdPtSe2 from the Alexandria database. Energies are from GGA-PBE.

The structure in POSCAR format:
```
AlPdPtSe2
1.0
5.0381 0.0000 0.0000
0.0000 5.0381 0.0000
0.0000 0.0000 4.6579
Al Pd Pt Se
1 1 1 2
Direct
0.0000 0.0000 0.0000 Al
0.5000 0.5000 0.0000 Pd
0.0000 0.0000 0.5000 Pt
0.0000 0.5000 0.5000 Se
0.5000 0.0000 0.5000 Se
```

Magnetization ... 0.0 μB/cell
Total energy ... -19.80 eV per cell
Uncorrected formation energy ... 2.1 eV per formula unit

Here is an optimized crystal structure of BaSrP2O from the Alexandria database. Energies are from GGA-PBE.

The structure in POSCAR format:
```
BaSrP2O
1.0
5.8726 0.0000 0.0000
0.0000 5.8726 0.0000
0.0000 0.0000 4.5542
Ba Sr P O
1 1 2 1
Direct
0.0000 0.0000 0.0000 Ba
0.5000 0.5000 0.5000 Sr
0.0000 0.5000 0.0000 P
0.5000 0.0000 0.0000 P
0.0000 0.0000 0.5000 O
```

Magnetization ... 2.3 μB/cell
Energy above the lowest structure with this stoichiometry ... 437 meV/atom
Total energy ... -19.61 eV per cell
Uncorrected formation energy ... -0.2 eV per formula unit

Here is an optimized crystal structure of CrCdIn2 from the Alexandria database. Energies are from GGA-PBE.

The structure in POSCAR format:
```
CrCdIn2
1.0
9.6756 0.0000 0.0000
0.0000 3.3361 0.0000
-0.9457 0.0000 5.4331
Cr Cd In
2 2 4
Direct
0.0000 0.0000 0.0000 Cr
0.5000 0.5000 0.0000 Cr
0.0000 0.5000 0.5000 Cd
0.5000 0.0000 0.5000 Cd
0.2439 0.5000 0.2349 In
0.2561 0.0000 0.7651 In
0.7439 0.0000 0.2349 In
0.7561 0.5000 0.7651 In
```

Magnetization ... 7.6 μB/cell
Total energy ... -29.68 eV per cell

Here is an optimized crystal structure of TlSbPb2 from the Alexandria database. Energies are from GGA-PBE.

The structure in POSCAR format:
```
TlSbPb2
1.0
7.0253 0.0000 0.0000
0.0000 7.0253 0.0000
0.0000 0.0000 13.7141
Tl Sb Pb
4 4 8
Direct
0.0000 0.0000 0.0000 Tl
0.0000 0.5000 0.2500 Tl
0.5000 0.0000 0.7500 Tl
0.5000 0.5000 0.5000 Tl
0.0000 0.0000 0.5000 Sb
0.0000 0.5000 0.7500 Sb
0.5000 0.0000 0.2500 Sb
0.5000 0.5000 0.0000 Sb
0.2461 0.2500 0.6250 Pb
0.2500 0.7461 0.8750 Pb
0.2500 0.7539 0.3750 Pb
0.2539 0.2500 0.1250 Pb
0.7461 0.7500 0.1250 Pb
0.7500 0.2461 0.3750 Pb
0.7500 0.2539 0.8750 Pb
0.7539 0.7500 0.6250 Pb
```

Magnetization ... 0.0 μB/cell
Energy above the lowest structure with this stoichiometry ... 182 meV/atom
Total energy ... -52.51 eV per cell
Uncorrected formation energy ... 0.8 eV per formula unit

Here is an optimized crystal structure of Rb2AgRuC from the Alexandria database. Energies are from GGA-PBE.

The structure in POSCAR format:
```
Rb2AgRuC
1.0
6.6570 0.0000 0.0000
0.0000 6.6570 0.0000
0.0000 0.0000 5.1279
Rb Ag Ru C
2 1 1 1
Direct
0.0000 0.5000 0.0000 Rb
0.5000 0.0000 0.0000 Rb
0.0000 0.0000 0.0000 Ag
0.0000 0.0000 0.5000 Ru
0.5000 0.5000 0.5000 C
```

Magnetization ... 5.7 μB/cell
Total energy ... -13.11 eV per cell

Here is an optimized crystal structure of ZrSc4Hg from the Alexandria database. Energies are from GGA-PBE.

The structure in POSCAR format:
```
ZrSc4Hg
1.0
0.0000 4.1213 4.1213
4.1213 0.0000 4.1213
4.1213 4.1213 0.0000
Zr Sc Hg
1 4 1
Direct
0.0000 0.0000 0.0000 Zr
0.3744 0.3744 0.3744 Sc
0.3744 0.3744 0.8769 Sc
0.3744 0.8769 0.3744 Sc
0.8769 0.3744 0.3744 Sc
0.7500 0.7500 0.7500 Hg
```

Magnetization ... 1.7 μB/cell
Energy above the lowest structure with this stoichiometry ... 335 meV/atom
Total energy ... -32.86 eV per cell